Entry 1:
Entry from Alexandria: CaIn4IrRh2 after structural relaxation (PBE).

Values from the calculation:
**E**: -4.826 eV per atom

abc: 4.7460 4.7460 23.2384
angles: 90.00 90.00 120.00
Space group R-3m (No. 166, hexagonal axes)
One atom of each set of equivalent atoms:
1 Ca 0.0000 0.0000 0.0000 (multiplicity 3)
2 In 0.0000 0.0000 0.1336 (multiplicity 6)
3 In 0.0000 0.0000 0.3823 (multiplicity 6)
4 Ir 0.0000 0.0000 0.5000 (multiplicity 3)
5 Rh 0.0000 0.0000 0.2541 (multiplicity 6)

=====

Entry 2:
Entry from Alexandria: TaCdN2O after structural relaxation (PBE).

Values from the calculation:
**Energy relative to the elements, uncorrected**: -480 meV/atom

abc: 4.1092 4.1092 3.9593
angles: 90.00 90.00 90.00
Space group P4/mmm (No. 123)
One atom of each set of equivalent atoms:
1 Ta 0.0000 0.0000 0.0000 (multiplicity 1)
2 Cd 0.5000 0.5000 0.5000 (multiplicity 1)
3 N 0.0000 0.5000 0.0000 (multiplicity 2)
4 O 0.0000 0.0000 0.5000 (multiplicity 1)

=====

Magnetic moment: 0.00, 0.32 (μB/cell)